Record 1
# SrTeSe

A relaxed SrTeSe crystal (PBE-GGA, Alexandria).

```
SrTeSe
1.0
-2.1171 -4.2149 2.4693
2.3045 -1.9510 4.3850
-2.3574 0.5964 4.7363
Sr Se Te
1 1 1
Cartesian
-1.6275 -4.1772 8.6930
-1.0850 -2.7848 5.7953
0.0000 0.0000 0.0000
```

- Energy: -3.56 eV per atom
- Uncorrected formation energy: -0.7857 eV per atom
- Space group: No. 216
- E above lowest polymorph: 329.1 meV per atom


Record 2
# ZnRe2PdPt

A relaxed ZnRe2PdPt crystal (PBE-GGA, Alexandria).

```
ZnRe2PdPt
1.0
-2.4212 3.7457 -0.6455
-3.7803 -2.3607 0.4809
0.0619 0.8041 4.4338
Pd Pt Re Zn
1 1 2 1
Cartesian
-3.0698 1.0946 2.1346
-1.8901 -1.1803 0.2405
0.0310 0.4021 2.2169
-1.2106 1.8729 -0.3227
0.0000 0.0000 0.0000
```

- Energy: -5.65 eV per atom
- Space group: No. 123


Record 3
# KBa2CuH

A relaxed KBa2CuH crystal (PBE-GGA, Alexandria).

```
KBa2CuH
1.0
6.8843 0.0000 0.0000
0.0000 5.1164 0.0000
0.0000 0.0000 6.8843
K H Cu Ba
1 1 1 2
Cartesian
0.0000 0.0000 0.0000
3.4421 2.5582 3.4421
0.0000 2.5582 0.0000
0.0000 0.0000 3.4421
3.4421 0.0000 0.0000
```

- Energy: -1.50 eV per atom
- Space group: No. 123


Record 4
# Y2TlVCl

A relaxed Y2TlVCl crystal (PBE-GGA, Alexandria).

```
Y2TlVCl
1.0
-2.0496 0.4560 4.6221
-3.0131 -4.3721 -0.9048
3.6752 -2.9298 1.9188
Y V Cl Tl
2 1 1 1
Cartesian
-1.0248 0.2280 2.3110
1.8376 -1.4649 0.9594
-0.6938 -3.4230 2.8180
0.0000 0.0000 0.0000
-1.5065 -2.1861 -0.4524
```

- Energy: -4.87 eV per atom
- Uncorrected formation energy: 0.3801 eV per atom
- Space group: No. 123
- E above lowest polymorph: 212.8 meV per atom


Record 5
# CrFe3B

A relaxed CrFe3B crystal (PBE-GGA, Alexandria).

```
CrFe3B
1.0
3.7217 0.0000 0.0000
0.0000 3.7217 0.0000
0.0000 0.0000 3.7217
Fe B Cr
3 1 1
Cartesian
1.8609 0.0000 0.0000
0.0000 0.0000 1.8609
0.0000 1.8609 0.0000
0.0000 0.0000 0.0000
1.8609 1.8609 1.8609
```

- Energy: -8.10 eV per atom
- Space group: No. 221
- E above lowest polymorph: 0.0 meV per atom


These records have total magnetization values of 0.00 0.00 1.30 0.19 0.00 μB per cell, in the order they appear.